An optimized crystal structure of GaTe2S, computed with PBEsol.

CIF file:
```
data_GaTe2S
_symmetry_space_group_name_H-M 'R -3 m'
_symmetry_Int_Tables_number 166
_symmetry_space_group_name_Hall '-R 3 2"'
_cell_length_a 3.3525
_cell_length_b 3.3525
_cell_length_c 29.3364
_cell_angle_alpha 90.00
_cell_angle_beta 90.00
_cell_angle_gamma 120.00
loop_
_atom_site_label
_atom_site_type_symbol
_atom_site_fract_x
_atom_site_fract_y
_atom_site_fract_z
_atom_site_occupancy
Ga1 Ga 0.0000 0.0000 0.0000 1
Te1 Te 0.0000 0.0000 0.0964 1
S1 S 0.0000 0.0000 0.5000 1
```

Results
Energy relative to the elements, uncorrected = 0.330 eV/atom
M_tot = 0.000 μB per cell